Entry 1:
! PBE CaGa2SCl, relaxed; values from VASP
! Raw formation energy (kJ/mol of atoms): -43.1
! Excess energy over the best structure of this formula in the dataset (eV per atom): 0.000
&SYSTEM
  ibrav = 0, nat = 5, ntyp = 4
/
ATOMIC_SPECIES
Ca 40.08 Ca.upf
S 32.06 S.upf
Ga 69.72 Ga.upf
Cl 35.45 Cl.upf
CELL_PARAMETERS angstrom
5.4959 0.0000 0.0000
0.0000 5.2270 0.0000
0.0000 0.0000 5.4959
ATOMIC_POSITIONS crystal
Ca 0.0000 0.5000 0.0000
S 0.0000 0.0000 0.0000
Ga 0.0000 0.0000 0.5000
Ga 0.5000 0.0000 0.0000
Cl 0.5000 0.5000 0.5000

=====

Entry 2:
! PBE AcCuAu2, relaxed; values from VASP
! Calculated formation energy (eV per atom): -0.55
&SYSTEM
  ibrav = 0, nat = 4, ntyp = 3
/
ATOMIC_SPECIES
Ac 227.00 Ac.upf
Au 196.97 Au.upf
Cu 63.55 Cu.upf
CELL_PARAMETERS angstrom
-4.5117 0.4903 -0.6282
-2.9415 -1.7890 3.0228
-2.3822 3.9847 3.5121
ATOMIC_POSITIONS crystal
Ac 0.0000 0.0000 0.0000
Au 0.7874 0.7874 0.6379
Au 0.2126 0.2126 0.3621
Cu 0.5000 0.5000 0.5000

=====

Entry 3:
! PBE BeAl2Hg, relaxed; values from VASP
! Calculated formation energy (eV per atom): 0.35
! Excess energy over the best structure of this formula in the dataset (eV per atom): 0.082
&SYSTEM
  ibrav = 0, nat = 4, ntyp = 3
/
ATOMIC_SPECIES
Be 9.01 Be.upf
Hg 200.59 Hg.upf
Al 26.98 Al.upf
CELL_PARAMETERS angstrom
-1.3703 2.2333 -4.2267
-2.9083 -3.0059 -2.6901
-0.1512 1.4397 4.7576
ATOMIC_POSITIONS crystal
Be 0.2500 0.7500 0.5000
Hg 0.7500 0.2500 0.5000
Al 0.0000 0.0000 0.0000
Al 0.5000 0.5000 0.0000

=====

Number 1: ρ 2.60 g/cm3, calculated total energy -0.239 Ry/atom. Number 2: ρ 12.06 g/cm3, calculated total energy -0.312 Ry/atom. Number 3: ρ 6.66 g/cm3, calculated total energy -0.186 Ry/atom.